Run one
CaO4: optimized geometry, GGA-PBE.

Structure (POSCAR):
```
CaO4
1.0
-0.348 -2.667 1.826
1.394 -1.786 -2.343
6.627 1.346 3.227
Ca O
1 4
direct
0.500 0.000 0.000
0.000 0.507 0.102
0.500 0.071 0.424
0.500 0.929 0.576
0.000 0.493 0.898
```

Computed properties:
V: 79.4 Å³/cell
space group: No. 10


Run two
CaO4: optimized geometry, GGA-PBE.

Structure (POSCAR):
```
CaO4
1.0
-4.385 -1.304 0.411
1.033 -2.257 3.865
-0.895 3.782 2.448
Ca O
1 4
direct
0.500 0.500 0.500
0.000 0.000 0.000
0.500 0.000 0.500
0.000 0.500 0.500
0.500 0.500 0.000
```

Computed properties:
V: 96.9 Å³/cell
space group: No. 221


The most stable of them is run one.


Run one
Ca2OsO5: optimized geometry, GGA-PBE.

Structure (POSCAR):
```
Ca2OsO5
1.0
3.868 0.000 0.000
-1.934 5.890 0.000
0.000 0.000 10.745
Ca Os O
4 2 10
direct
0.860 0.719 0.438
0.860 0.719 0.062
0.140 0.281 0.562
0.140 0.281 0.938
0.843 0.685 0.750
0.157 0.315 0.250
0.955 0.911 0.875
0.955 0.911 0.625
0.273 0.546 0.386
0.273 0.546 0.114
0.670 0.340 0.250
0.330 0.660 0.750
0.727 0.454 0.614
0.727 0.454 0.886
0.045 0.089 0.125
0.045 0.089 0.375
```

Computed properties:
V: 244.8 Å³/cell
space group: No. 63


Run two
Ca2OsO5: optimized geometry, GGA-PBE.

Structure (POSCAR):
```
Ca2OsO5
1.0
4.290 0.000 1.441
2.145 3.665 0.720
0.249 0.000 6.365
Ca Os O
2 1 5
direct
0.826 0.500 0.848
0.174 0.500 0.152
0.500 0.500 0.500
0.209 0.832 0.749
0.458 0.832 0.251
0.000 0.500 0.500
0.791 0.168 0.251
0.542 0.168 0.749
```

Computed properties:
V: 98.8 Å³/cell
space group: No. 69


The most stable of them is run one.


Run one
CaP2OsO: optimized geometry, GGA-PBE.

Structure (POSCAR):
```
CaP2OsO
1.0
-2.329 -2.340 3.909
2.170 -4.430 -1.358
3.126 0.811 2.348
P Ca Os O
2 1 1 1
direct
0.000 0.500 0.000
0.500 0.000 0.000
0.000 0.000 0.000
0.500 0.500 0.500
0.000 0.000 0.500
```

Computed properties:
V: 104.6 Å³/cell
space group: No. 123


Run two
CaP2OsO: optimized geometry, GGA-PBE.

Structure (POSCAR):
```
CaP2OsO
1.0
-2.888 -3.861 -0.805
3.797 -2.452 -1.862
0.821 -1.327 3.421
P Ca Os O
2 1 1 1
direct
0.000 0.500 0.000
0.500 0.000 0.000
0.500 0.500 0.500
0.000 0.000 0.000
0.000 0.000 0.500
```

Computed properties:
V: 89.9 Å³/cell
space group: No. 123


The most stable of them is run two.


Run one
CaPOsO2: optimized geometry, GGA-PBE.

Structure (POSCAR):
```
CaPOsO2
1.0
3.994 0.000 0.000
0.000 3.994 0.000
0.000 0.000 5.942
P Ca Os O
1 1 1 2
direct
0.000 0.000 0.500
0.000 0.000 0.000
0.500 0.500 0.500
0.000 0.500 0.000
0.500 0.000 0.000
```

Computed properties:
V: 94.8 Å³/cell
space group: No. 123


Run two
CaPOsO2: optimized geometry, GGA-PBE.

Structure (POSCAR):
```
CaPOsO2
1.0
-3.418 0.234 1.870
-1.244 -3.189 -1.875
1.833 -2.898 3.712
P Ca Os O
1 1 1 2
direct
0.000 0.000 0.500
0.500 0.500 0.500
0.000 0.000 0.000
0.000 0.500 0.000
0.500 0.000 0.000
```

Computed properties:
V: 77.0 Å³/cell
space group: No. 123


The most stable of them is run two.


Run one
Sr2CaOsO6: optimized geometry, GGA-PBE.

Structure (POSCAR):
```
Sr2CaOsO6
1.0
-2.203 5.212 -1.263
-3.416 -0.273 4.833
5.986 3.554 4.431
Sr Ca Os O
4 2 2 12
direct
0.010 0.955 0.251
0.510 0.545 0.751
0.990 0.045 0.749
0.490 0.455 0.249
0.500 0.000 0.000
0.000 0.500 0.500
0.500 0.000 0.500
0.000 0.500 0.000
0.269 0.689 0.040
0.769 0.811 0.540
0.731 0.311 0.960
0.231 0.189 0.460
0.315 0.731 0.454
0.815 0.769 0.954
0.685 0.269 0.546
0.185 0.231 0.046
0.919 0.525 0.228
0.419 0.975 0.728
0.081 0.475 0.772
0.581 0.025 0.272
```

Computed properties:
V: 283.4 Å³/cell
space group: No. 14


Run two
Sr2CaOsO6: optimized geometry, GGA-PBE.

Structure (POSCAR):
```
Sr2CaOsO6
1.0
5.877 0.000 0.000
2.938 5.089 0.000
2.938 1.696 4.798
Sr Ca Os O
2 1 1 6
direct
0.250 0.250 0.250
0.750 0.750 0.750
0.500 0.500 0.500
0.000 0.000 0.000
0.768 0.232 0.232
0.232 0.768 0.768
0.232 0.768 0.232
0.768 0.232 0.768
0.232 0.232 0.768
0.768 0.768 0.232
```

Computed properties:
V: 143.5 Å³/cell
space group: No. 225


The most stable of them is run one.


Run one
Ca3PO: optimized geometry, GGA-PBE.

Structure (POSCAR):
```
Ca3PO
1.0
-0.493 -0.926 4.533
4.624 -0.242 0.453
0.146 4.553 0.946
P Ca O
1 3 1
direct
0.500 0.500 0.500
0.000 0.500 0.000
0.000 0.000 0.500
0.500 0.000 0.000
0.000 0.000 0.000
```

Computed properties:
V: 100.7 Å³/cell
space group: No. 221


Run two
Ca3PO: optimized geometry, GGA-PBE.

Structure (POSCAR):
```
Ca3PO
1.0
-0.226 1.358 -6.970
6.760 -4.130 -2.611
-2.801 -7.295 -2.918
Ca P O
12 4 4
direct
0.623 0.803 0.928
0.877 0.072 0.197
0.377 0.197 0.072
0.123 0.928 0.803
0.948 0.400 0.885
0.552 0.115 0.600
0.052 0.600 0.115
0.448 0.885 0.400
0.504 0.546 0.719
0.996 0.281 0.454
0.496 0.454 0.281
0.004 0.719 0.546
0.250 0.857 0.143
0.750 0.143 0.857
0.250 0.390 0.610
0.750 0.610 0.390
0.951 0.691 0.850
0.549 0.150 0.309
0.049 0.309 0.150
0.451 0.850 0.691
```

Computed properties:
V: 462.7 Å³/cell
space group: No. 15


The most stable of them is run two.


Run one
CaPPbO2: optimized geometry, GGA-PBE.

Structure (POSCAR):
```
CaPPbO2
1.0
4.327 0.000 0.000
0.000 4.327 0.000
0.000 0.000 5.677
Pb P Ca O
1 1 1 2
direct
0.500 0.500 0.500
0.000 0.000 0.500
0.000 0.000 0.000
0.000 0.500 0.000
0.500 0.000 0.000
```

Computed properties:
V: 106.3 Å³/cell
space group: No. 123


Run two
CaPPbO2: optimized geometry, GGA-PBE.

Structure (POSCAR):
```
CaPPbO2
1.0
4.331 0.000 0.000
0.000 4.331 0.000
0.000 0.000 5.259
Pb P Ca O
1 1 1 2
direct
0.000 0.000 0.000
0.000 0.000 0.500
0.500 0.500 0.500
0.000 0.500 0.000
0.500 0.000 0.000
```

Computed properties:
V: 98.7 Å³/cell
space group: No. 123


The most stable of them is run two.


Run one
CaPPdO2: optimized geometry, GGA-PBE.

Structure (POSCAR):
```
CaPPdO2
1.0
-0.748 0.876 -4.049
3.859 -1.349 -1.005
-1.606 -4.147 -0.600
P Ca O Pd
1 1 2 1
direct
0.000 0.000 0.500
0.500 0.500 0.500
0.000 0.500 0.000
0.500 0.000 0.000
0.000 0.000 0.000
```

Computed properties:
V: 79.5 Å³/cell
space group: No. 123


Run two
CaPPdO2: optimized geometry, GGA-PBE.

Structure (POSCAR):
```
CaPPdO2
1.0
4.101 0.000 0.000
0.000 4.101 0.000
0.000 0.000 6.107
P Ca O Pd
1 1 2 1
direct
0.000 0.000 0.500
0.000 0.000 0.000
0.000 0.500 0.000
0.500 0.000 0.000
0.500 0.500 0.500
```

Computed properties:
V: 102.7 Å³/cell
space group: No. 123


The most stable of them is run one.


Run one
CaP2PtO: optimized geometry, GGA-PBE.

Structure (POSCAR):
```
CaP2PtO
1.0
4.964 0.000 0.000
0.000 4.964 0.000
0.000 0.000 3.861
P Ca O Pt
2 1 1 1
direct
0.000 0.500 0.000
0.500 0.000 0.000
0.500 0.500 0.500
0.000 0.000 0.500
0.000 0.000 0.000
```

Computed properties:
V: 95.2 Å³/cell
space group: No. 123


Run two
CaP2PtO: optimized geometry, GGA-PBE.

Structure (POSCAR):
```
CaP2PtO
1.0
5.211 0.000 0.000
0.000 5.211 0.000
0.000 0.000 3.958
P Ca O Pt
2 1 1 1
direct
0.000 0.500 0.000
0.500 0.000 0.000
0.000 0.000 0.000
0.000 0.000 0.500
0.500 0.500 0.500
```

Computed properties:
V: 107.5 Å³/cell
space group: No. 123


The most stable of them is run one.


Run one
CaRePO2: optimized geometry, GGA-PBE.

Structure (POSCAR):
```
CaRePO2
1.0
-2.385 -1.196 3.001
2.963 -2.296 1.440
1.942 4.632 3.390
Re Ca O P
1 1 2 1
direct
0.500 0.500 0.500
0.000 0.000 0.000
0.000 0.500 0.000
0.500 0.000 0.000
0.000 0.000 0.500
```

Computed properties:
V: 97.7 Å³/cell
space group: No. 123


Run two
CaRePO2: optimized geometry, GGA-PBE.

Structure (POSCAR):
```
CaRePO2
1.0
-0.079 -3.191 2.250
2.874 -1.571 -2.127
3.402 2.076 3.064
Re Ca O P
1 1 2 1
direct
0.000 0.000 0.000
0.500 0.500 0.500
0.000 0.500 0.000
0.500 0.000 0.000
0.000 0.000 0.500
```

Computed properties:
V: 76.7 Å³/cell
space group: No. 123


The most stable of them is run two.


Run one
CaPS2O: optimized geometry, GGA-PBE.

Structure (POSCAR):
```
CaPS2O
1.0
4.830 0.000 0.000
0.000 4.830 0.000
0.000 0.000 3.718
P Ca S O
1 1 2 1
direct
0.000 0.000 0.500
0.500 0.500 0.500
0.000 0.500 0.000
0.500 0.000 0.000
0.000 0.000 0.000
```

Computed properties:
V: 86.7 Å³/cell
space group: No. 123


Run two
CaPS2O: optimized geometry, GGA-PBE.

Structure (POSCAR):
```
CaPS2O
1.0
5.326 0.000 0.000
0.000 5.326 0.000
0.000 0.000 5.634
P Ca S O
1 1 2 1
direct
0.000 0.000 0.500
0.000 0.000 0.000
0.000 0.500 0.000
0.500 0.000 0.000
0.500 0.500 0.500
```

Computed properties:
V: 159.8 Å³/cell
space group: No. 123


The most stable of them is run one.


Run one
CaSbP2O: optimized geometry, GGA-PBE.

Structure (POSCAR):
```
CaSbP2O
1.0
-3.646 3.720 -1.106
-1.820 -0.299 4.995
2.635 2.920 1.135
Sb Ca O P
1 1 1 2
direct
0.500 0.500 0.500
0.000 0.000 0.000
0.000 0.000 0.500
0.000 0.500 0.000
0.500 0.000 0.000
```

Computed properties:
V: 116.1 Å³/cell
space group: No. 123


Run two
CaSbP2O: optimized geometry, GGA-PBE.

Structure (POSCAR):
```
CaSbP2O
1.0
-5.051 -1.106 0.625
1.255 -3.941 3.165
-0.152 2.465 3.130
Sb Ca O P
1 1 1 2
direct
0.000 0.000 0.000
0.500 0.500 0.500
0.000 0.000 0.500
0.000 0.500 0.000
0.500 0.000 0.000
```

Computed properties:
V: 108.2 Å³/cell
space group: No. 123


The most stable of them is run two.